Density functional theory data (PBE-GGA) for a relaxed structure of TiFeN2.

It has space group R3m (No. 160, hexagonal axes), with a = 2.9434 Å, b = 2.9434 Å, c = 14.9034 Å, α = 90.00°, β = 90.00° and γ = 120.00°. The asymmetric unit holds Ti at (0.0000, 0.0000, 0.0000), Fe at (0.0000, 0.0000, 0.1865), N at (0.0000, 0.0000, 0.4054) and N at (0.0000, 0.0000, 0.5768).

The crystal system is trigonal. Its size of the total moment is 0.00 μB per cell. The calculation puts the uncorrected formation energy at -0.594 eV/atom.

Density functional theory data (PBE-GGA) for a relaxed structure of TiFeN3.

It has space group Pm-3m (No. 221), with a = 3.839 Å, b = 3.839 Å, c = 3.839 Å, α = 90.00°, β = 90.00° and γ = 90.00°. The asymmetric unit holds Ti at (0.000, 0.000, 0.000), Fe at (0.500, 0.500, 0.500) and N at (0.000, 0.000, 0.500).

The crystal system is cubic. Its size of the total moment is 0.00 μB per cell. The calculation puts the uncorrected formation energy at 1.147 eV/atom.